YWF5, relaxed, DFT GGA+U; crystal system = orthorhombic; electronic total energy = -43.22 eV per formula unit; size of the total moment = 3.1 μB per formula unit; space-group type = Immm (71)
1.0
4.250 0.000 0.000
0.000 7.179 0.000
0.000 0.000 8.596
Y W F
2 2 10
direct
0.000 0.000 0.000 Y
0.500 0.500 0.500 Y
0.000 0.000 0.500 W
0.500 0.500 0.000 W
0.000 0.000 0.256 F
0.000 0.000 0.744 F
0.000 0.313 0.000 F
0.000 0.500 0.500 F
0.000 0.687 0.000 F
0.500 0.000 0.000 F
0.500 0.187 0.500 F
0.500 0.500 0.244 F
0.500 0.500 0.756 F
0.500 0.813 0.500 F